Density functional theory data (PBE+U) for crystalline ZnFeAg2F6 at its relaxed geometry.

* electronic total energy: -0.309 Ry per atom
* magnetic moment: 0.40 μB per atom
* SG: P2_1/c, No. 14

Lattice parameters (Å, degrees): 5.7256 5.7520 9.9499 90.00 125.05 90.00
Last column: nearest neighbours and their distance in Å.
Sites, in units of the cell vectors:
Zn: 0.0000 0.0000 0.0000  6 F 2.05-2.11
Zn: 0.0000 0.5000 0.5000  6 F 2.05-2.11
Fe: 0.5000 0.0000 0.5000  6 F 2.05-2.14
Fe: 0.5000 0.5000 0.0000  6 F 2.05-2.14
Ag: 0.2407 0.0366 0.7495  5 F 2.44-2.72
Ag: 0.2407 0.4634 0.2495  5 F 2.44-2.72
Ag: 0.7593 0.5366 0.7505  5 F 2.44-2.72
Ag: 0.7593 0.9634 0.2505  5 F 2.44-2.72
F: 0.1577 0.2167 0.4518  1 Zn 2.05, 1 Fe 2.13
F: 0.1577 0.2833 0.9518  1 Zn 2.05, 1 Fe 2.13
F: 0.2487 0.7157 0.4570  1 Fe 2.05, 1 Zn 2.11
F: 0.2487 0.7843 0.9570  1 Fe 2.05, 1 Zn 2.11
F: 0.3323 0.0230 0.2453  1 Zn 2.06, 1 Fe 2.14
F: 0.3323 0.4770 0.7453  1 Zn 2.06, 1 Fe 2.14
F: 0.6677 0.5230 0.2547  1 Zn 2.06, 1 Fe 2.14
F: 0.6677 0.9770 0.7547  1 Zn 2.06, 1 Fe 2.14
F: 0.7513 0.2157 0.0430  1 Fe 2.05, 1 Zn 2.11
F: 0.7513 0.2843 0.5430  1 Fe 2.05, 1 Zn 2.11
F: 0.8423 0.7167 0.0482  1 Zn 2.05, 1 Fe 2.13
F: 0.8423 0.7833 0.5482  1 Zn 2.05, 1 Fe 2.13